one.
Here is Mg2SiPb after structural relaxation from Alexandria. Energies are from PBE.

Properties
magnetization	0.00	μB per formula unit

Cell and atoms, written as CIF:
```
data_Mg2SiPb
_cell_length_a 5.6806
_cell_length_b 5.6806
_cell_length_c 5.6806
_cell_angle_alpha 135.52
_cell_angle_beta 135.52
_cell_angle_gamma 64.73
_symmetry_space_group_name_H-M 'P 1'
_symmetry_Int_Tables_number 1
_symmetry_space_group_name_Hall 'P 1'
loop_
_atom_site_label
_atom_site_type_symbol
_atom_site_fract_x
_atom_site_fract_y
_atom_site_fract_z
Pb1 Pb 0.5000 0.5000 0.0000
Si1 Si 0.7500 0.2500 0.5000
Mg1 Mg 0.2500 0.7500 0.5000
Mg2 Mg 0.0000 0.0000 0.0000
```

***

two.
Here is Mg2SiPb after structural relaxation from Alexandria. Energies are from PBE.

Properties
magnetization	0.00	μB per formula unit

Cell and atoms, written as CIF:
```
data_Mg2SiPb
_cell_length_a 8.0768
_cell_length_b 8.0768
_cell_length_c 6.4532
_cell_angle_alpha 51.26
_cell_angle_beta 51.26
_cell_angle_gamma 90.00
_symmetry_space_group_name_H-M 'P 1'
_symmetry_Int_Tables_number 1
_symmetry_space_group_name_Hall 'P 1'
loop_
_atom_site_label
_atom_site_type_symbol
_atom_site_fract_x
_atom_site_fract_y
_atom_site_fract_z
Mg1 Mg 0.5691 0.1250 0.2500
Mg2 Mg 0.3750 0.4309 0.7500
Mg3 Mg 0.1809 0.6250 0.2500
Mg4 Mg 0.8750 0.8191 0.7500
Pb1 Pb 0.0000 0.0000 0.0000
Pb2 Pb 0.7500 0.2500 0.5000
Si1 Si 0.5000 0.5000 0.0000
Si2 Si 0.2500 0.7500 0.5000
```

***

The most stable arrangement is one, and the next structure is 9.9 kJ/mol of atoms less stable.

***

one.
Here is Mg2SiPb after structural relaxation from Alexandria. Energies are from PBE.

Properties
magnetization	0.00	μB per formula unit

Cell and atoms, written as CIF:
```
data_Mg2SiPb
_cell_length_a 4.8377
_cell_length_b 4.8377
_cell_length_c 6.1578
_cell_angle_alpha 78.40
_cell_angle_beta 78.40
_cell_angle_gamma 39.67
_symmetry_space_group_name_H-M 'P 1'
_symmetry_Int_Tables_number 1
_symmetry_space_group_name_Hall 'P 1'
loop_
_atom_site_label
_atom_site_type_symbol
_atom_site_fract_x
_atom_site_fract_y
_atom_site_fract_z
Pb1 Pb 0.7500 0.7500 0.7500
Si1 Si 0.2500 0.2500 0.2500
Mg1 Mg 0.5125 0.5125 0.4673
Mg2 Mg 0.9875 0.9875 0.0327
```

***

two.
Here is Mg2SiPb after structural relaxation from Alexandria. Energies are from PBE.

Properties
magnetization	0.00	μB per formula unit

Cell and atoms, written as CIF:
```
data_Mg2SiPb
_cell_length_a 3.2918
_cell_length_b 3.2918
_cell_length_c 8.1605
_cell_angle_alpha 90.00
_cell_angle_beta 90.00
_cell_angle_gamma 89.97
_symmetry_space_group_name_H-M 'P 1'
_symmetry_Int_Tables_number 1
_symmetry_space_group_name_Hall 'P 1'
loop_
_atom_site_label
_atom_site_type_symbol
_atom_site_fract_x
_atom_site_fract_y
_atom_site_fract_z
Pb1 Pb 0.5000 0.5000 0.2500
Si1 Si 0.5000 0.5000 0.7500
Mg1 Mg 0.0000 0.0000 0.9621
Mg2 Mg 0.0000 0.0000 0.5379
```

***

The most stable arrangement is two, and the next structure is 2.1 kJ/mol of atoms less stable.